First-principles (PBE) data for a relaxed structure of Al2FeIrRu, as listed in Alexandria via LeMat-Bulk.

Calculated values
Electronic total energy (eV/atom): -5.917
M_tot (μB per formula unit): 3.495

Structure (POSCAR):
```
Al2FeIrRu
1.0
4.5916 0.0000 0.0000
0.0000 4.5916 0.0000
0.0000 0.0000 4.8235
Ru Ir Fe Al
1 1 1 2
direct
0.0000 0.0000 0.5000
0.0000 0.0000 0.0000
0.5000 0.5000 0.5000
0.0000 0.5000 0.0000
0.5000 0.0000 0.0000
```

First-principles (PBE) data for a relaxed structure of ZrHgIr2, as listed in Alexandria via LeMat-Bulk.

Calculated values
Electronic total energy (eV/atom): -6.783
M_tot (μB per formula unit): 0.000

Structure (POSCAR):
```
ZrHgIr2
1.0
-4.2336 0.3898 3.2305
-2.8090 -2.0459 4.0540
1.7144 2.3335 3.9354
Hg Ir Zr
1 2 1
direct
0.7300 0.7300 0.7963
0.9780 0.9780 0.9737
0.2753 0.2753 0.2778
0.5167 0.5167 0.4522
```

First-principles (PBE) data for a relaxed structure of Cd2AsAu2, as listed in Alexandria via LeMat-Bulk.

Calculated values
Electronic total energy (eV/atom): -2.594
M_tot (μB per formula unit): 0.000
Energy above the most stable polymorph in this dataset (eV/atom): 0.000

Structure (POSCAR):
```
Cd2AsAu2
1.0
-0.0806 6.8043 -4.5241
-0.7301 -4.5123 -6.7734
-3.0582 0.1268 0.2452
As Au Cd
2 4 4
direct
0.0000 0.0000 0.0000
0.5000 0.5000 0.0000
0.3743 0.8743 0.0000
0.8743 0.6257 0.0000
0.6257 0.1257 0.0000
0.1257 0.3743 0.0000
0.1731 0.6731 0.5000
0.6731 0.8269 0.5000
0.8269 0.3269 0.5000
0.3269 0.1731 0.5000
```